Entry 1:
Computed, not measured: a crystal of YCdFe relaxed with PBEsol at the meta-GGA SCAN level of DFT.

Properties
space-group type: I4mm (107)
total magnetization: 0.68 μB/atom
crystal system: tetragonal
calculated formation energy: 0.050 eV per atom

abc: 5.7217 5.7217 5.7217
angles: 145.80 145.80 49.15
Fractional positions:
Y  0.0000  0.0000  0.0000
Cd  0.7059  0.7059  0.0000
Fe  0.3373  0.3373  0.0000



Entry 2:
Computed, not measured: a crystal of CaCo2Si2 relaxed with PBEsol at the meta-GGA SCAN level of DFT.

Properties
space-group type: P4/mbm (127)
total magnetization: 0.00 μB/atom
crystal system: tetragonal
ΔE_f (raw): -0.158 eV/atom

abc: 7.1020 7.1020 2.5729
angles: 90.00 90.00 90.00
Fractional positions:
Ca  0.0000  0.0000  0.0000
Ca  0.5000  0.5000  0.0000
Co  0.1512  0.3488  0.5000
Co  0.3488  0.8488  0.5000
Co  0.6512  0.1512  0.5000
Co  0.8488  0.6512  0.5000
Si  0.1348  0.6348  0.0000
Si  0.3652  0.1348  0.0000
Si  0.6348  0.8652  0.0000
Si  0.8652  0.3652  0.0000



Entry 3:
Computed, not measured: a crystal of RbSn3 relaxed with PBEsol at the meta-GGA SCAN level of DFT.

Properties
space-group type: P6_3/mmc (194)
total magnetization: 0.00 μB/atom
crystal system: hexagonal
calculated formation energy: -0.164 eV per atom

abc: 7.5105 7.5105 5.4643
angles: 90.00 90.00 120.00
Fractional positions:
Rb  0.3333  0.6667  0.2500
Rb  0.6667  0.3333  0.7500
Sn  0.1336  0.2673  0.7500
Sn  0.1336  0.8664  0.7500
Sn  0.2673  0.1336  0.2500
Sn  0.7327  0.8664  0.7500
Sn  0.8664  0.1336  0.2500
Sn  0.8664  0.7327  0.2500



Entry 4:
Computed, not measured: a crystal of Sr2LiPt relaxed with PBEsol at the meta-GGA SCAN level of DFT.

Properties
E above lowest polymorph: 0 meV per atom
space-group type: Amm2 (38)
total magnetization: 0.00 μB/atom
crystal system: orthorhombic
calculated formation energy: -0.547 eV per atom

abc: 4.4297 6.1441 6.1441
angles: 42.24 90.00 90.00
Fractional positions:
Sr  0.0000  0.0000  0.0000
Sr  0.5000  0.2820  0.2820
Li  0.0000  0.6873  0.6873
Pt  0.5000  0.5738  0.5738



Entry 5:
Computed, not measured: a crystal of CaP2Os relaxed with PBEsol at the meta-GGA SCAN level of DFT.

Properties
E above lowest polymorph: 72 meV per atom
space-group type: P4mm (99)
total magnetization: 0.00 μB/atom
crystal system: tetragonal
calculated formation energy: -0.100 eV per atom

abc: 3.1462 3.1462 6.5318
angles: 90.00 90.00 90.00
Fractional positions:
Ca  0.0000  0.0000  0.0000
P  0.0000  0.0000  0.5048
P  0.5000  0.5000  0.7208
Os  0.5000  0.5000  0.3518



Entry 6:
Computed, not measured: a crystal of CaMg14NiO16 relaxed with PBEsol at the meta-GGA SCAN level of DFT.

Properties
space-group type: P4/mmm (123)
total magnetization: 0.06 μB/atom
crystal system: tetragonal
ΔE_f (raw): -2.886 eV/atom

abc: 8.5002 8.5002 4.2746
angles: 90.00 90.00 90.00
Fractional positions:
Ca  0.0000  0.0000  0.0000
Mg  0.0000  0.2557  0.5000
Mg  0.0000  0.5000  0.0000
Mg  0.0000  0.7443  0.5000
Mg  0.2527  0.5000  0.5000
Mg  0.2543  0.2543  0.0000
Mg  0.2543  0.7457  0.0000
Mg  0.2557  0.0000  0.5000
Mg  0.5000  0.0000  0.0000
Mg  0.5000  0.2527  0.5000
Mg  0.5000  0.7473  0.5000
Mg  0.7443  0.0000  0.5000
Mg  0.7457  0.2543  0.0000
Mg  0.7457  0.7457  0.0000
Mg  0.7473  0.5000  0.5000
Ni  0.5000  0.5000  0.0000
O  0.0000  0.0000  0.5000
O  0.0000  0.2636  0.0000
O  0.0000  0.5000  0.5000
O  0.0000  0.7364  0.0000
O  0.2505  0.2505  0.5000
O  0.2505  0.7495  0.5000
O  0.2525  0.5000  0.0000
O  0.2636  0.0000  0.0000
O  0.5000  0.0000  0.5000
O  0.5000  0.2525  0.0000
O  0.5000  0.5000  0.5000
O  0.5000  0.7475  0.0000
O  0.7364  0.0000  0.0000
O  0.7475  0.5000  0.0000
O  0.7495  0.2505  0.5000
O  0.7495  0.7495  0.5000



Entry 7:
Computed, not measured: a crystal of LiNi2P3O10 relaxed with PBEsol at the meta-GGA SCAN level of DFT.

Properties
space-group type: P2_1/m (11)
total magnetization: 0.25 μB/atom
crystal system: monoclinic
ΔE_f (raw): -2.246 eV/atom

abc: 4.5711 8.3069 8.8736
angles: 90.00 97.91 90.00
Fractional positions:
Li  0.0000  0.0000  0.0000
Li  0.0000  0.5000  0.0000
Ni  0.0357  0.0701  0.3373
Ni  0.0357  0.4299  0.3373
Ni  0.9643  0.5701  0.6627
Ni  0.9643  0.9299  0.6627
P  0.3311  0.2500  0.8210
P  0.3967  0.7500  0.4669
P  0.4630  0.2500  0.1481
P  0.5370  0.7500  0.8519
P  0.6033  0.2500  0.5331
P  0.6689  0.7500  0.1790
O  0.1577  0.0954  0.8122
O  0.1577  0.4046  0.8122
O  0.2268  0.5942  0.4881
O  0.2268  0.9058  0.4881
O  0.2285  0.7500  0.7577
O  0.2881  0.0957  0.1620
O  0.2881  0.4043  0.1620
O  0.2910  0.2500  0.4438
O  0.4294  0.7500  0.2900
O  0.4449  0.7500  0.0233
O  0.5551  0.2500  0.9767
O  0.5706  0.2500  0.7100
O  0.7090  0.7500  0.5562
O  0.7119  0.5957  0.8380
O  0.7119  0.9043  0.8380
O  0.7715  0.2500  0.2423
O  0.7732  0.0942  0.5119
O  0.7732  0.4058  0.5119
O  0.8423  0.5954  0.1878
O  0.8423  0.9046  0.1878



Entry 8:
Computed, not measured: a crystal of Zr2BeBr relaxed with PBEsol at the meta-GGA SCAN level of DFT.

Properties
E above lowest polymorph: 0 meV per atom
space-group type: P4/mmm (123)
total magnetization: 0.00 μB/atom
crystal system: tetragonal
ΔE_f (raw): -0.151 eV/atom

abc: 3.7496 3.7496 5.1830
angles: 90.00 90.00 90.00
Fractional positions:
Zr  0.0000  0.0000  0.0000
Zr  0.5000  0.5000  0.5000
Be  0.0000  0.0000  0.5000
Br  0.5000  0.5000  0.0000



Entry 9:
Computed, not measured: a crystal of Ca2LaNi relaxed with PBEsol at the meta-GGA SCAN level of DFT.

Properties
E above lowest polymorph: 24 meV per atom
space-group type: R3m (160)
total magnetization: 0.00 μB/atom
crystal system: trigonal
calculated formation energy: -0.052 eV per atom

abc: 10.0580 10.0580 10.0580
angles: 22.46 22.46 22.46
Fractional positions:
Ca  0.0000  0.0000  0.0000
Ca  0.2217  0.2217  0.2217
La  0.7802  0.7802  0.7802
Ni  0.4964  0.4964  0.4964



Entry 10:
Computed, not measured: a crystal of BeCd2Pt relaxed with PBEsol at the meta-GGA SCAN level of DFT.

Properties
space-group type: R-3m (166)
total magnetization: 0.00 μB/atom
crystal system: trigonal
calculated formation energy: 0.135 eV per atom

abc: 8.7815 8.7815 8.7815
angles: 19.10 19.10 19.10
Fractional positions:
Be  0.0000  0.0000  0.0000
Cd  0.2553  0.2553  0.2553
Cd  0.7447  0.7447  0.7447
Pt  0.5000  0.5000  0.5000



Entry 11:
Computed, not measured: a crystal of GaPNO2 relaxed with PBEsol at the meta-GGA SCAN level of DFT.

Properties
space-group type: P4/mmm (123)
total magnetization: 0.00 μB/atom
crystal system: tetragonal
ΔE_f (raw): -0.536 eV/atom

abc: 3.3716 3.3716 3.8162
angles: 90.00 90.00 90.00
Fractional positions:
Ga  0.0000  0.0000  0.0000
P  0.5000  0.5000  0.5000
N  0.5000  0.5000  0.0000
O  0.0000  0.5000  0.5000
O  0.5000  0.0000  0.5000



Entry 12:
Computed, not measured: a crystal of Tl3TcW relaxed with PBEsol at the meta-GGA SCAN level of DFT.

Properties
space-group type: Pm-3m (221)
total magnetization: 1.18 μB/atom
crystal system: cubic
calculated formation energy: 1.583 eV per atom

abc: 5.2543 5.2543 5.2543
angles: 90.00 90.00 90.00
Fractional positions:
Tl  0.0000  0.0000  0.5000
Tl  0.0000  0.5000  0.0000
Tl  0.5000  0.0000  0.0000
Tc  0.5000  0.5000  0.5000
W  0.0000  0.0000  0.0000



Number 1: E -76.237 eV/cell. Number 2: E -130.191 eV/cell. Number 3: E -258.314 eV/cell. Number 4: E -119.323 eV/cell. Number 5: E -102.742 eV/cell. Number 6: E -287.515 eV/cell. Number 7: E -328.365 eV/cell. Number 8: E -85.814 eV/cell. Number 9: E -78.813 eV/cell. Number 10: E -134.835 eV/cell. Number 11: E -51.181 eV/cell. Number 12: E -313.909 eV/cell.